Below is an optimized crystal structure of MnNi2PAu, with properties calculated at the PBE level.

Lattice parameters (Å, degrees): 4.3681 4.3681 4.1678 90.00 90.00 90.00
Fractional positions:
Mn1 0.0000 0.0000 0.0000
Ni1 0.0000 0.5000 0.0000
Ni2 0.5000 0.0000 0.0000
P1 0.0000 0.0000 0.5000
Au1 0.5000 0.5000 0.5000

## Properties
DOS(E_F)   5.81 states/eV/f.u.
Energy of formation from the pure elements   0.77 eV/atom
ΔE to the lowest computed polymorph   0.000 eV per atom
Magnetization   0.560 μB per atom

***

Below is an optimized crystal structure of PaMnNiAu, with properties calculated at the PBE level.

Lattice parameters (Å, degrees): 4.5848 4.5848 4.5848 60.00 60.00 60.00
Fractional positions:
Pa1 0.0000 0.0000 0.0000
Mn1 0.2500 0.2500 0.2500
Ni1 0.7500 0.7500 0.7500
Au1 0.5000 0.5000 0.5000

## Properties
DOS(E_F)   5.98 states/eV/f.u.
Energy of formation from the pure elements   -0.07 eV/atom
Magnetization   0.722 μB per atom

***

Below is an optimized crystal structure of MnNiPdAu, with properties calculated at the PBE level.

Lattice parameters (Å, degrees): 4.6967 4.6967 4.6967 130.36 130.36 72.84
Fractional positions:
Mn1 0.0000 0.0000 0.0000
Ni1 0.5000 0.5000 0.0000
Pd1 0.7500 0.2500 0.5000
Au1 0.2500 0.7500 0.5000

## Properties
DOS(E_F)   4.70 states/eV/f.u.
Energy of formation from the pure elements   -0.10 eV/atom
ΔE to the lowest computed polymorph   0.000 eV per atom
Magnetization   1.169 μB per atom

***

Below is an optimized crystal structure of MnNiPdAu, with properties calculated at the PBE level.

Lattice parameters (Å, degrees): 4.3768 4.3768 4.3768 60.00 60.00 60.00
Fractional positions:
Mn1 0.0000 0.0000 0.0000
Ni1 0.5000 0.5000 0.5000
Pd1 0.2500 0.2500 0.2500
Au1 0.7500 0.7500 0.7500

## Properties
DOS(E_F)   3.15 states/eV/f.u.
Energy of formation from the pure elements   -0.04 eV/atom
ΔE to the lowest computed polymorph   0.059 eV per atom
Magnetization   1.149 μB per atom

***

Below is an optimized crystal structure of Mn2NiAuS, with properties calculated at the PBE level.

Lattice parameters (Å, degrees): 4.9266 4.9266 4.6705 90.00 90.00 90.00
Fractional positions:
Mn1 0.0000 0.5000 0.0000
Mn2 0.5000 0.0000 0.0000
Ni1 0.0000 0.0000 0.5000
Au1 0.0000 0.0000 0.0000
S1 0.5000 0.5000 0.5000

## Properties
DOS(E_F)   5.92 states/eV/f.u.
Formation energy without anion corrections   1.0143 eV per atom
Magnetization   1.871 μB per atom

***

Below is an optimized crystal structure of MnNiSbAu, with properties calculated at the PBE level.

Lattice parameters (Å, degrees): 4.5164 4.5164 4.5164 60.00 60.00 60.00
Fractional positions:
Mn1 0.0000 0.0000 0.0000
Ni1 0.5000 0.5000 0.5000
Sb1 0.7500 0.7500 0.7500
Au1 0.2500 0.2500 0.2500

## Properties
DOS(E_F)   2.10 states/eV/f.u.
Formation energy without anion corrections   0.0407 eV per atom
Magnetization   0.904 μB per atom

***

> What is the formula in the second record?

PaMnNiAu